*w*
Computed, not measured: an optimized crystal structure of V2ZnCo4 at the PBE-GGA level of DFT.

Unit cell a=4.231 b=4.231 c=11.458 alpha=90.00 beta=90.00 gamma=90.00
Space group I4/mmm (No. 139)
Symmetry-distinct sites (fractional):
1 V 0.000 0.000 0.121 (multiplicity 4)
2 Zn 0.000 0.000 0.500 (multiplicity 2)
3 Co 0.000 0.000 0.295 (multiplicity 4)
4 Co 0.000 0.500 0.000 (multiplicity 4)

Results
crystal system: tetragonal
size of the total moment: 0.01 μB per atom


*x*
Computed, not measured: an optimized crystal structure of V2ZnCo4 at the PBE-GGA level of DFT.

Unit cell a=3.264 b=3.264 c=16.487 alpha=90.00 beta=90.00 gamma=90.00
Space group I4/mmm (No. 139)
Symmetry-distinct sites (fractional):
1 V 0.000 0.000 0.103 (multiplicity 4)
2 Zn 0.000 0.000 0.500 (multiplicity 2)
3 Co 0.000 0.000 0.355 (multiplicity 4)
4 Co 0.000 0.500 0.250 (multiplicity 4)

Results
crystal system: tetragonal
size of the total moment: 0.28 μB per atom


The least stable of them is *w*.


*w*
Computed, not measured: an optimized crystal structure of V3ZnCo at the PBE-GGA level of DFT.

Unit cell a=4.309 b=4.309 c=4.309 alpha=90.00 beta=90.00 gamma=90.00
Space group Pm-3m (No. 221)
Symmetry-distinct sites (fractional):
1 V 0.000 0.000 0.500 (multiplicity 3)
2 Zn 0.500 0.500 0.500 (multiplicity 1)
3 Co 0.000 0.000 0.000 (multiplicity 1)

Results
crystal system: cubic
size of the total moment: 0.00 μB per atom


*x*
Computed, not measured: an optimized crystal structure of V3ZnCo at the PBE-GGA level of DFT.

Unit cell a=4.418 b=4.418 c=4.418 alpha=90.00 beta=90.00 gamma=90.00
Space group Pm-3m (No. 221)
Symmetry-distinct sites (fractional):
1 V 0.000 0.000 0.500 (multiplicity 3)
2 Zn 0.000 0.000 0.000 (multiplicity 1)
3 Co 0.500 0.500 0.500 (multiplicity 1)

Results
crystal system: cubic
size of the total moment: 0.75 μB per atom


The least stable of them is *x*.


*w*
Computed, not measured: an optimized crystal structure of VZn2Co2 at the PBE-GGA level of DFT.

Unit cell a=6.863 b=6.863 c=2.664 alpha=90.00 beta=90.00 gamma=90.00
Space group P4/mbm (No. 127)
Symmetry-distinct sites (fractional):
1 V 0.000 0.000 0.000 (multiplicity 2)
2 Zn 0.125 0.375 0.000 (multiplicity 4)
3 Co 0.176 0.676 0.500 (multiplicity 4)

Results
crystal system: tetragonal
size of the total moment: 0.22 μB per atom


*x*
Computed, not measured: an optimized crystal structure of VZn2Co2 at the PBE-GGA level of DFT.

Unit cell a=6.827 b=3.954 c=5.016 alpha=90.00 beta=90.08 gamma=90.00
Space group C2/m (No. 12)
Symmetry-distinct sites (fractional):
1 V 0.000 0.000 0.000 (multiplicity 2)
2 Zn 0.167 0.500 0.632 (multiplicity 4)
3 Co 0.167 0.500 0.130 (multiplicity 4)

Results
crystal system: monoclinic
size of the total moment: 0.00 μB per atom


The least stable of them is *w*.